VASP calculation (GGA-PBE) on an optimized crystal structure of LiGePd3.

a b c (Å): 4.930 5.555 6.595
angles (deg): 90.00 111.27 90.00
Space group P2_1/m (No. 11)
Unique sites:
Li  0.034  0.250  0.280 x2
Ge  0.335  0.250  0.974 x2
Pd  0.080  0.750  0.353 x2
Pd  0.461  0.002  0.702 x4

- DOS at the Fermi energy (states/eV per cell) = 3.4
- calculated formation energy (eV/f.u.) = -1.88
- energy above the most stable polymorph in this dataset (kJ/mol of formula units) = 81.5

VASP calculation (GGA-PBE) on an optimized crystal structure of Mg2CoTe.

a b c (Å): 3.249 3.249 7.645
angles (deg): 90.00 90.00 90.00
Space group P4mm (No. 99)
Unique sites:
Mg  0.000  0.000  0.000 x1
Mg  0.500  0.500  0.283 x1
Co  0.500  0.500  0.772 x1
Te  0.000  0.000  0.611 x1

- DOS at the Fermi energy (states/eV per cell) = 3.0
- uncorrected formation energy (eV/atom) = 0.072

VASP calculation (GGA-PBE) on an optimized crystal structure of ErTl2Hg.

a b c (Å): 4.002 4.002 6.784
angles (deg): 90.00 90.00 90.00
Space group P4/mmm (No. 123)
Unique sites:
Er  0.000  0.000  0.000 x1
Tl  0.500  0.500  0.253 x2
Hg  0.000  0.000  0.500 x1

- DOS at the Fermi energy (states/eV per cell) = 3.0
- calculated formation energy (eV/f.u.) = -0.34

Question: The highest DOS at the Fermi energy belongs to which entry?
Answer: LiGePd3

Question: What is the DOS at the Fermi energy in the third record?
Answer: 3.0 states/eV per cell

Question: DOS at the Fermi energy of number 1 (LiGePd3)?
Answer: 3.4 states/eV per cell

Question: Which value of DOS at the Fermi energy does entry 2 give?
Answer: 3.0 states/eV per cell